A plane-wave DFT calculation with PBE-GGA was carried out for a relaxed structure of BaIn2Au.

Values from the calculation:
SG	I-42d
formation enthalpy at 0 K	-0.296	eV/atom

Cell lengths 5.2953, 5.2953, 10.6635 Å; angles 75.62, 75.62, 90.00 degrees
With the nearest neighbours (Å) after each atom.
Fractional positions:
Au: 0.0000 0.0000 0.0000  4 In 2.87
Au: 0.7500 0.2500 0.5000  4 In 2.87
Ba: 0.5000 0.5000 0.0000  4 In 3.55, 4 Au 3.74
Ba: 0.2500 0.7500 0.5000  4 In 3.55, 4 Au 3.74
In: 0.7793 0.1250 0.2500  2 In 2.83, 2 Au 2.87
In: 0.9707 0.6250 0.2500  2 In 2.83, 2 Au 2.87
In: 0.3750 0.2207 0.7500  2 In 2.83, 2 Au 2.87
In: 0.8750 0.0293 0.7500  2 In 2.83, 2 Au 2.87